[1]
# Al2AgTe PBE-GGA relaxed
# **Energy**: -3.153 eV/atom
# **ΔE_f (raw)**: 0.2167 eV/atom
data_Al2AgTe
_chemical_formula_sum 'Al2 Ag1 Te1'
_symmetry_space_group_name_H-M 'P 4/m m m'
_symmetry_Int_Tables_number 123
_symmetry_space_group_name_Hall '-P 4 2'
_cell_length_a 4.083
_cell_length_b 4.083
_cell_length_c 5.289
_cell_angle_alpha 90.00
_cell_angle_beta 90.00
_cell_angle_gamma 90.00
loop_
_atom_site_label
_atom_site_type_symbol
_atom_site_fract_x
_atom_site_fract_y
_atom_site_fract_z
Al1 Al 0.000 0.500 0.000
Ag1 Ag 0.000 0.000 0.500
Te1 Te 0.500 0.500 0.500



[2]
# Nd3Al4Pd4 PBE-GGA relaxed
# **DFT formation energy**: -0.7227 eV/atom
# **Energy**: -5.272 eV/atom
data_Nd3Al4Pd4
_chemical_formula_sum 'Nd6 Al8 Pd8'
_symmetry_space_group_name_H-M 'I -4 3 m'
_symmetry_Int_Tables_number 217
_symmetry_space_group_name_Hall 'I -4 2 3'
_cell_length_a 7.787
_cell_length_b 7.787
_cell_length_c 7.787
_cell_angle_alpha 90.00
_cell_angle_beta 90.00
_cell_angle_gamma 90.00
loop_
_atom_site_label
_atom_site_type_symbol
_atom_site_fract_x
_atom_site_fract_y
_atom_site_fract_z
Nd1 Nd 0.000 0.000 0.500
Al1 Al 0.129 0.129 0.871
Pd1 Pd 0.191 0.191 0.191



[3]
# NdGdTlCu PBE-GGA relaxed
# **DFT formation energy**: -0.2343 eV/atom
# **Energy**: -6.562 eV/atom
data_NdGdTlCu
_chemical_formula_sum 'Nd4 Gd4 Tl4 Cu4'
_symmetry_space_group_name_H-M 'F -4 3 m'
_symmetry_Int_Tables_number 216
_symmetry_space_group_name_Hall 'F -4 2 3'
_cell_length_a 7.474
_cell_length_b 7.474
_cell_length_c 7.474
_cell_angle_alpha 90.00
_cell_angle_beta 90.00
_cell_angle_gamma 90.00
loop_
_atom_site_label
_atom_site_type_symbol
_atom_site_fract_x
_atom_site_fract_y
_atom_site_fract_z
Nd1 Nd 0.000 0.000 0.000
Gd1 Gd 0.000 0.000 0.500
Tl1 Tl 0.250 0.250 0.250
Cu1 Cu 0.250 0.250 0.750



[4]
# Er2Tm3Cu3 PBE-GGA relaxed
# **DFT formation energy**: -0.1736 eV/atom
# **Energy**: -4.527 eV/atom
data_Er2Tm3Cu3
_chemical_formula_sum 'Er4 Tm6 Cu6'
_symmetry_space_group_name_H-M 'I m m m'
_symmetry_Int_Tables_number 71
_symmetry_space_group_name_Hall '-I 2 2'
_cell_length_a 3.483
_cell_length_b 5.030
_cell_length_c 20.623
_cell_angle_alpha 90.00
_cell_angle_beta 90.00
_cell_angle_gamma 90.00
loop_
_atom_site_label
_atom_site_type_symbol
_atom_site_fract_x
_atom_site_fract_y
_atom_site_fract_z
Er1 Er 0.000 0.000 0.226
Tm1 Tm 0.000 0.000 0.000
Tm2 Tm 0.000 0.500 0.116
Cu1 Cu 0.000 0.000 0.500
Cu2 Cu 0.000 0.500 0.386



[5]
# Ba2AcH PBE-GGA relaxed
# **Energy**: -2.775 eV/atom
data_Ba2AcH
_chemical_formula_sum 'Ba6 Ac3 H3'
_symmetry_space_group_name_H-M 'R -3 m'
_symmetry_Int_Tables_number 166
_symmetry_space_group_name_Hall '-R 3 2"'
_cell_length_a 4.0485
_cell_length_b 4.0485
_cell_length_c 33.3499
_cell_angle_alpha 90.00
_cell_angle_beta 90.00
_cell_angle_gamma 120.00
loop_
_atom_site_label
_atom_site_type_symbol
_atom_site_fract_x
_atom_site_fract_y
_atom_site_fract_z
Ba1 Ba 0.0000 0.0000 0.1175
Ac1 Ac 0.0000 0.0000 0.0000
H1 H 0.0000 0.0000 0.5000



[6]
# Na2Te2S5 PBE-GGA relaxed
# **Energy**: -3.594 eV/atom
# **ΔE_f (raw)**: -0.3100 eV/atom
data_Na2Te2S5
_chemical_formula_sum 'Na2 Te2 S5'
_symmetry_space_group_name_H-M 'P -1'
_symmetry_Int_Tables_number 2
_cell_length_a 4.302
_cell_length_b 7.581
_cell_length_c 8.021
_cell_angle_alpha 66.94
_cell_angle_beta 76.85
_cell_angle_gamma 76.72
loop_
_symmetry_equiv_pos_as_xyz
'x,y,z'
'-x,-y,-z'
loop_
_atom_site_label
_atom_site_type_symbol
_atom_site_fract_x
_atom_site_fract_y
_atom_site_fract_z
Na1 Na 0.091 0.338 0.332
Te1 Te 0.478 0.181 0.810
S1 S 0.026 0.708 0.046
S2 S 0.362 0.958 0.629
S3 S 0.500 0.500 0.500



[7]
# HoGe2Pt7 PBE-GGA relaxed
# **DFT formation energy**: -0.3614 eV/atom
# **Energy**: -5.971 eV/atom
data_HoGe2Pt7
_chemical_formula_sum 'Ho2 Ge4 Pt14'
_symmetry_space_group_name_H-M 'C m m m'
_symmetry_Int_Tables_number 65
_symmetry_space_group_name_Hall '-C 2 2'
_cell_length_a 7.306
_cell_length_b 12.453
_cell_length_c 4.417
_cell_angle_alpha 90.00
_cell_angle_beta 90.00
_cell_angle_gamma 90.00
loop_
_atom_site_label
_atom_site_type_symbol
_atom_site_fract_x
_atom_site_fract_y
_atom_site_fract_z
Ho1 Ho 0.000 0.000 0.000
Ge1 Ge 0.000 0.303 0.500
Pt1 Pt 0.000 0.223 0.000
Pt2 Pt 0.000 0.500 0.500
Pt3 Pt 0.187 0.113 0.500



[8]
# NaCaLuHg PBE-GGA relaxed
# **DFT formation energy**: -0.0849 eV/atom
# **Energy**: -2.121 eV/atom
data_NaCaLuHg
_chemical_formula_sum 'Na4 Ca4 Lu4 Hg4'
_symmetry_space_group_name_H-M 'F -4 3 m'
_symmetry_Int_Tables_number 216
_symmetry_space_group_name_Hall 'F -4 2 3'
_cell_length_a 7.586
_cell_length_b 7.586
_cell_length_c 7.586
_cell_angle_alpha 90.00
_cell_angle_beta 90.00
_cell_angle_gamma 90.00
loop_
_atom_site_label
_atom_site_type_symbol
_atom_site_fract_x
_atom_site_fract_y
_atom_site_fract_z
Na1 Na 0.000 0.000 0.000
Ca1 Ca 0.250 0.250 0.750
Lu1 Lu 0.250 0.250 0.250
Hg1 Hg 0.000 0.000 0.500



[9]
# YGa2Os2 PBE-GGA relaxed
# **DFT formation energy**: -0.2104 eV/atom
# **Energy**: -7.206 eV/atom
data_YGa2Os2
_chemical_formula_sum 'Y2 Ga4 Os4'
_symmetry_space_group_name_H-M 'I 4/m m m'
_symmetry_Int_Tables_number 139
_symmetry_space_group_name_Hall '-I 4 2'
_cell_length_a 4.296
_cell_length_b 4.296
_cell_length_c 10.192
_cell_angle_alpha 90.00
_cell_angle_beta 90.00
_cell_angle_gamma 90.00
loop_
_atom_site_label
_atom_site_type_symbol
_atom_site_fract_x
_atom_site_fract_y
_atom_site_fract_z
Y1 Y 0.000 0.000 0.000
Ga1 Ga 0.000 0.500 0.250
Os1 Os 0.000 0.000 0.385



[10]
# VNi2Rh2 PBE-GGA relaxed
# **DFT formation energy**: -0.1755 eV/atom
# **Energy**: -7.252 eV/atom
data_VNi2Rh2
_chemical_formula_sum 'V4 Ni8 Rh8'
_symmetry_space_group_name_H-M 'C 1 2/c 1'
_symmetry_Int_Tables_number 15
_cell_length_a 11.159
_cell_length_b 4.579
_cell_length_c 5.176
_cell_angle_alpha 90.00
_cell_angle_beta 105.43
_cell_angle_gamma 90.00
loop_
_symmetry_equiv_pos_as_xyz
'x,y,z'
'-x,-y,-z'
'-x,y,-z+1/2'
'x,-y,z+1/2'
'x+1/2,y+1/2,z'
'-x+1/2,-y+1/2,-z'
'-x+1/2,y+1/2,-z+1/2'
'x+1/2,-y+1/2,z+1/2'
loop_
_atom_site_label
_atom_site_type_symbol
_atom_site_fract_x
_atom_site_fract_y
_atom_site_fract_z
V1 V 0.000 0.107 0.250
Ni1 Ni 0.093 0.415 0.944
Rh1 Rh 0.194 0.086 0.657



[11]
# La4TlIr PBE-GGA relaxed
# **DFT formation energy**: -0.4932 eV/atom
# **Energy**: -5.649 eV/atom
data_La4TlIr
_chemical_formula_sum 'La64 Tl16 Ir16'
_symmetry_space_group_name_H-M 'F -4 3 m'
_symmetry_Int_Tables_number 216
_symmetry_space_group_name_Hall 'F -4 2 3'
_cell_length_a 14.368
_cell_length_b 14.368
_cell_length_c 14.368
_cell_angle_alpha 90.00
_cell_angle_beta 90.00
_cell_angle_gamma 90.00
loop_
_atom_site_label
_atom_site_type_symbol
_atom_site_fract_x
_atom_site_fract_y
_atom_site_fract_z
La1 La 0.000 0.000 0.191
La2 La 0.057 0.250 0.250
La3 La 0.152 0.152 0.652
Tl1 Tl 0.084 0.084 0.416
Ir1 Ir 0.141 0.141 0.859



[12]
# Mg2In8Hg PBE-GGA relaxed
# **DFT formation energy**: 0.0026 eV/atom
# **Energy**: -2.306 eV/atom
data_Mg2In8Hg
_chemical_formula_sum 'Mg4 In16 Hg2'
_symmetry_space_group_name_H-M 'C 1 2/m 1'
_symmetry_Int_Tables_number 12
_cell_length_a 20.391
_cell_length_b 4.597
_cell_length_c 6.526
_cell_angle_alpha 90.00
_cell_angle_beta 108.20
_cell_angle_gamma 90.00
loop_
_symmetry_equiv_pos_as_xyz
'x,y,z'
'-x,-y,-z'
'-x,y,-z'
'x,-y,z'
'x+1/2,y+1/2,z'
'-x+1/2,-y+1/2,-z'
'-x+1/2,y+1/2,-z'
'x+1/2,-y+1/2,z'
loop_
_atom_site_label
_atom_site_type_symbol
_atom_site_fract_x
_atom_site_fract_y
_atom_site_fract_z
Mg1 Mg 0.200 0.000 0.101
In1 In 0.034 0.000 0.826
In2 In 0.109 0.500 0.249
In3 In 0.144 0.500 0.790
In4 In 0.209 0.000 0.587
Hg1 Hg 0.000 0.500 0.500



[13]
# PaTc2Sn PBE-GGA relaxed
# **DFT formation energy**: 0.1589 eV/atom
# **Energy**: -8.399 eV/atom
data_PaTc2Sn
_chemical_formula_sum 'Pa3 Tc6 Sn3'
_symmetry_space_group_name_H-M 'R -3 m'
_symmetry_Int_Tables_number 166
_symmetry_space_group_name_Hall '-R 3 2"'
_cell_length_a 3.4131
_cell_length_b 3.4131
_cell_length_c 23.5138
_cell_angle_alpha 90.00
_cell_angle_beta 90.00
_cell_angle_gamma 120.00
loop_
_atom_site_label
_atom_site_type_symbol
_atom_site_fract_x
_atom_site_fract_y
_atom_site_fract_z
Pa1 Pa 0.0000 0.0000 0.0000
Tc1 Tc 0.0000 0.0000 0.2563
Sn1 Sn 0.0000 0.0000 0.5000



[14]
# AlInSb2I PBE-GGA relaxed
# **Energy**: -2.987 eV/atom
# **ΔE_f (raw)**: 0.2681 eV/atom
data_AlInSb2I
_chemical_formula_sum 'Al1 In1 Sb2 I1'
_symmetry_space_group_name_H-M 'P 4/m m m'
_symmetry_Int_Tables_number 123
_symmetry_space_group_name_Hall '-P 4 2'
_cell_length_a 5.344
_cell_length_b 5.344
_cell_length_c 5.760
_cell_angle_alpha 90.00
_cell_angle_beta 90.00
_cell_angle_gamma 90.00
loop_
_atom_site_label
_atom_site_type_symbol
_atom_site_fract_x
_atom_site_fract_y
_atom_site_fract_z
Al1 Al 0.000 0.000 0.000
In1 In 0.500 0.500 0.500
Sb1 Sb 0.000 0.500 0.000
I1 I 0.000 0.000 0.500



[15]
# K2InP PBE-GGA relaxed
# **DFT formation energy**: -0.2682 eV/atom
# **Energy**: -2.854 eV/atom
data_K2InP
_chemical_formula_sum 'K2 In1 P1'
_symmetry_space_group_name_H-M 'P 1 m 1'
_symmetry_Int_Tables_number 6
_cell_length_a 5.243
_cell_length_b 4.155
_cell_length_c 6.932
_cell_angle_alpha 90.00
_cell_angle_beta 112.13
_cell_angle_gamma 90.00
loop_
_symmetry_equiv_pos_as_xyz
'x,y,z'
'x,-y,z'
loop_
_atom_site_label
_atom_site_type_symbol
_atom_site_fract_x
_atom_site_fract_y
_atom_site_fract_z
K1 K 0.000 0.000 0.000
K2 K 0.307 0.500 0.616
In1 In 0.612 0.500 0.226
P1 P 0.738 0.000 0.475



[16]
# CsCuTeAu PBE-GGA relaxed
# **Energy**: -3.171 eV/atom
# **ΔE_f (raw)**: -0.3291 eV/atom
data_CsCuTeAu
_chemical_formula_sum 'Cs2 Cu2 Te2 Au2'
_symmetry_space_group_name_H-M 'P 4/n m m'
_symmetry_Int_Tables_number 129
_cell_length_a 4.088
_cell_length_b 4.088
_cell_length_c 14.395
_cell_angle_alpha 90.00
_cell_angle_beta 90.00
_cell_angle_gamma 90.00
loop_
_symmetry_equiv_pos_as_xyz
'x,y,z'
'-x,-y,-z'
'-y+1/2,x,z'
'y+1/2,-x,-z'
'-x+1/2,-y+1/2,z'
'x+1/2,y+1/2,-z'
'y,-x+1/2,z'
'-y,x+1/2,-z'
'x+1/2,-y,-z'
'-x+1/2,y,z'
'-y,-x,-z'
'y,x,z'
'-x,y+1/2,-z'
'x,-y+1/2,z'
'y+1/2,x+1/2,-z'
'-y+1/2,-x+1/2,z'
loop_
_atom_site_label
_atom_site_type_symbol
_atom_site_fract_x
_atom_site_fract_y
_atom_site_fract_z
Cs1 Cs 0.250 0.250 0.215
Cu1 Cu 0.250 0.750 0.500
Te1 Te 0.250 0.250 0.615
Au1 Au 0.250 0.750 0.000



[17]
# Ac2TbIn PBE-GGA relaxed
# **DFT formation energy**: 0.1494 eV/atom
# **Energy**: -3.747 eV/atom
data_Ac2TbIn
_chemical_formula_sum 'Ac6 Tb3 In3'
_symmetry_space_group_name_H-M 'R -3 m'
_symmetry_Int_Tables_number 166
_symmetry_space_group_name_Hall '-R 3 2"'
_cell_length_a 3.7235
_cell_length_b 3.7235
_cell_length_c 37.8295
_cell_angle_alpha 90.00
_cell_angle_beta 90.00
_cell_angle_gamma 120.00
loop_
_atom_site_label
_atom_site_type_symbol
_atom_site_fract_x
_atom_site_fract_y
_atom_site_fract_z
Ac1 Ac 0.0000 0.0000 0.0932
Tb1 Tb 0.0000 0.0000 0.0000
In1 In 0.0000 0.0000 0.5000



[18]
# SiNiRh2 PBE-GGA relaxed
# **Energy**: -6.768 eV/atom
# **ΔE_f (raw)**: -0.2913 eV/atom
data_SiNiRh2
_chemical_formula_sum 'Si3 Ni3 Rh6'
_symmetry_space_group_name_H-M 'R -3 m'
_symmetry_Int_Tables_number 166
_symmetry_space_group_name_Hall '-R 3 2"'
_cell_length_a 2.7859
_cell_length_b 2.7859
_cell_length_c 23.7104
_cell_angle_alpha 90.00
_cell_angle_beta 90.00
_cell_angle_gamma 120.00
loop_
_atom_site_label
_atom_site_type_symbol
_atom_site_fract_x
_atom_site_fract_y
_atom_site_fract_z
Si1 Si 0.0000 0.0000 0.0000
Ni1 Ni 0.0000 0.0000 0.5000
Rh1 Rh 0.0000 0.0000 0.2566



[19]
# Pm8Zn2Hg PBE-GGA relaxed
# **DFT formation energy**: -0.0984 eV/atom
# **Energy**: -3.812 eV/atom
data_Pm8Zn2Hg
_chemical_formula_sum 'Pm16 Zn4 Hg2'
_symmetry_space_group_name_H-M 'I m m m'
_symmetry_Int_Tables_number 71
_symmetry_space_group_name_Hall '-I 2 2'
_cell_length_a 5.090
_cell_length_b 8.497
_cell_length_c 14.923
_cell_angle_alpha 90.00
_cell_angle_beta 90.00
_cell_angle_gamma 90.00
loop_
_atom_site_label
_atom_site_type_symbol
_atom_site_fract_x
_atom_site_fract_y
_atom_site_fract_z
Pm1 Pm 0.000 0.000 0.137
Pm2 Pm 0.000 0.219 0.336
Pm3 Pm 0.000 0.320 0.000
Zn1 Zn 0.000 0.500 0.193
Hg1 Hg 0.000 0.500 0.500



[20]
# SrTaIn2 PBE-GGA relaxed
# **DFT formation energy**: 0.3756 eV/atom
# **Energy**: -4.377 eV/atom
data_SrTaIn2
_chemical_formula_sum 'Sr2 Ta2 In4'
_symmetry_space_group_name_H-M 'C m m 2'
_symmetry_Int_Tables_number 35
_cell_length_a 4.465
_cell_length_b 4.537
_cell_length_c 9.954
_cell_angle_alpha 90.00
_cell_angle_beta 90.00
_cell_angle_gamma 90.00
loop_
_symmetry_equiv_pos_as_xyz
'x,y,z'
'-x,-y,z'
'-x,y,z'
'x,-y,z'
'x+1/2,y+1/2,z'
'-x+1/2,-y+1/2,z'
'-x+1/2,y+1/2,z'
'x+1/2,-y+1/2,z'
loop_
_atom_site_label
_atom_site_type_symbol
_atom_site_fract_x
_atom_site_fract_y
_atom_site_fract_z
Sr1 Sr 0.000 0.000 0.000
Ta1 Ta 0.000 0.500 0.733
In1 In 0.000 0.000 0.524
In2 In 0.000 0.500 0.280